#1
The following is a DFT calculation (GGA-PBE) of a relaxed structure of Tl2GePd.

The structure in extended XYZ format:
```
8
Lattice="4.325 0.000 0.000 0.000 4.325 0.000 2.163 2.163 10.092" Properties=species:S:1:pos:R:3 pbc="T T T"
Pd 0.000 0.000 0.000
Tl 3.278 1.081 2.523
Tl 3.244 3.209 7.569
Ge 2.163 4.325 5.046
Tl 5.406 5.441 7.569
Pd 4.325 2.163 5.046
Tl 1.047 3.244 2.523
Ge 2.163 2.163 0.000
```

Values from the calculation:
**Magnetic moment**: 0.00 Bohr magnetons per cell


#2
The following is a DFT calculation (GGA-PBE) of a relaxed structure of Tl2GePd.

The structure in extended XYZ format:
```
4
Lattice="0.000 3.548 3.548 3.548 0.000 3.548 3.548 3.548 0.000" Properties=species:S:1:pos:R:3 pbc="T T T"
Tl 5.322 5.322 5.322
Pd 3.548 3.548 3.548
Ge 0.000 0.000 0.000
Tl 1.774 1.774 1.774
```

Values from the calculation:
**Magnetic moment**: 0.00 Bohr magnetons per cell


Relative energies in kJ/mol of atoms: #1 4.5; #2 0.0


#1
The following is a DFT calculation (GGA-PBE) of a relaxed structure of TlGePd3.

The structure in extended XYZ format:
```
5
Lattice="5.029 0.000 0.000 0.000 5.029 0.000 0.000 0.000 5.029" Properties=species:S:1:pos:R:3 pbc="T T T"
Tl 0.000 0.000 0.000
Pd 0.000 0.000 2.514
Pd 2.514 0.000 0.000
Pd 0.000 2.514 0.000
Ge 2.514 2.514 2.514
```

Values from the calculation:
**Magnetic moment**: 0.00 Bohr magnetons per cell


#2
The following is a DFT calculation (GGA-PBE) of a relaxed structure of TlGePd3.

The structure in extended XYZ format:
```
5
Lattice="-0.800 -2.064 -4.142 -0.091 -4.196 2.108 -4.627 0.439 0.675" Properties=species:S:1:pos:R:3 pbc="T T T"
Pd -0.046 -2.098 1.054
Pd -2.314 0.220 0.337
Tl -2.759 -2.910 -0.680
Pd -0.400 -1.032 -2.071
Ge 0.000 0.000 0.000
```

Values from the calculation:
**Magnetic moment**: 0.00 Bohr magnetons per cell


Relative energies in kJ/mol of atoms: #1 76.9; #2 0.0


#1
The following is a DFT calculation (GGA-PBE) of a relaxed structure of TmGePd3.

The structure in extended XYZ format:
```
10
Lattice="5.141 0.000 0.000 0.000 5.141 0.000 -2.570 -2.570 8.284" Properties=species:S:1:pos:R:3 pbc="T T T"
Pd 0.000 1.301 2.031
Pd -1.270 2.570 6.253
Tm 2.570 0.000 6.223
Pd 2.570 2.570 3.578
Ge 0.000 2.570 4.142
Tm 2.570 0.000 2.061
Pd 0.000 3.840 2.031
Pd 0.000 0.000 4.706
Ge 0.000 0.000 0.000
Pd 1.270 2.570 6.253
```

Values from the calculation:
**Magnetic moment**: 0.00 Bohr magnetons per cell


#2
The following is a DFT calculation (GGA-PBE) of a relaxed structure of TmGePd3.

The structure in extended XYZ format:
```
20
Lattice="-2.091 3.138 1.613 2.791 -2.332 8.152 7.817 5.741 -1.033" Properties=species:S:1:pos:R:3 pbc="T T T"
Tm 1.524 0.556 3.501
Pd 4.336 4.806 4.093
Pd 4.764 3.707 6.784
Ge 2.104 1.101 8.405
Pd 7.411 2.799 6.768
Pd 1.787 2.057 6.135
Pd 1.888 -0.721 6.455
Pd 6.729 4.489 2.598
Pd 1.105 3.747 1.964
Tm 3.576 5.673 1.422
Pd 6.629 7.268 2.277
Ge 6.213 3.108 4.614
Pd 3.752 2.839 1.948
Ge 6.413 5.446 0.327
Tm 4.940 0.874 7.310
Pd 8.048 5.341 7.863
Pd 4.180 1.741 4.639
Pd 0.469 1.206 0.869
Tm 6.993 5.991 5.231
Ge 2.303 3.438 4.118
```

Values from the calculation:
**Magnetic moment**: 0.00 Bohr magnetons per cell


Relative energies in kJ/mol of atoms: #1 27.8; #2 0.0


#1
The following is a DFT calculation (GGA-PBE) of a relaxed structure of Tm2Ge5Pd3.

The structure in extended XYZ format:
```
20
Lattice="-4.547 3.954 0.979 -2.163 0.208 8.144 2.940 7.431 2.682" Properties=species:S:1:pos:R:3 pbc="T T T"
Ge -3.022 6.785 6.147
Ge 0.411 8.648 5.052
Pd -3.987 7.463 8.441
Ge 1.584 5.909 2.526
Tm -2.307 9.886 6.458
Pd -3.410 2.965 0.734
Ge -1.555 7.800 8.860
Ge -0.748 4.808 5.658
Ge -4.181 2.945 6.753
Pd -1.137 0.988 0.245
Pd 0.217 4.130 3.364
Ge 0.059 1.816 2.456
Ge -3.829 9.777 9.349
Tm -1.463 1.706 5.347
Pd -3.243 4.428 5.124
Ge -2.215 3.793 2.945
Tm -2.334 4.654 8.430
Pd -0.528 7.165 6.681
Ge -5.354 5.683 9.279
Tm -1.436 6.939 3.375
```

Values from the calculation:
**Magnetic moment**: 0.00 Bohr magnetons per cell


#2
The following is a DFT calculation (GGA-PBE) of a relaxed structure of Tm2Ge5Pd3.

The structure in extended XYZ format:
```
20
Lattice="4.274 0.000 -0.728 0.000 6.972 0.000 -0.095 0.000 12.353" Properties=species:S:1:pos:R:3 pbc="T T T"
Ge 1.208 6.457 7.092
Ge 1.624 2.762 9.533
Ge 1.179 3.571 6.921
Pd 0.224 6.718 1.316
Pd 1.614 0.164 9.475
Ge 3.000 0.085 4.704
Ge 3.988 0.534 10.503
Pd 0.911 1.445 5.347
Ge 2.971 2.971 4.532
Ge 3.697 5.383 8.796
Pd 3.268 4.931 6.278
Tm 1.960 5.198 11.505
Pd 2.565 3.650 2.150
Tm 3.468 1.687 7.451
Ge 2.555 6.248 2.092
Tm 0.711 5.173 4.174
Ge 0.191 4.020 1.122
Ge 0.482 1.897 2.829
Pd 3.955 3.232 10.308
Tm 2.219 1.712 0.120
```

Values from the calculation:
**Magnetic moment**: 0.00 Bohr magnetons per cell


Relative energies in kJ/mol of atoms: #1 0.8; #2 0.0


#1
The following is a DFT calculation (GGA-PBE) of a relaxed structure of Tm3Ge3Pd2.

The structure in extended XYZ format:
```
32
Lattice="5.672 0.000 0.000 0.000 7.966 0.000 0.000 0.000 14.340" Properties=species:S:1:pos:R:3 pbc="T T T"
Tm 2.083 7.660 5.583
Ge 3.384 2.349 0.563
Tm 0.736 1.489 10.755
Tm 4.937 6.477 3.585
Pd 3.550 4.653 5.640
Pd 0.714 7.295 12.810
Ge 5.124 6.332 0.563
Ge 4.975 6.523 10.755
Ge 3.533 2.540 10.755
Tm 0.753 3.678 5.583
Ge 0.697 1.443 3.585
Pd 4.958 0.670 1.530
Ge 3.384 2.349 6.607
Ge 2.288 5.616 13.777
Tm 2.083 7.660 1.587
Tm 3.589 0.305 12.753
Pd 2.122 3.313 12.810
Ge 0.548 1.634 7.733
Pd 2.122 3.313 8.700
Tm 4.919 4.288 8.757
Tm 4.919 4.288 12.753
Ge 5.124 6.332 6.607
Pd 4.958 0.670 5.640
Tm 3.572 2.494 3.585
Pd 3.550 4.653 1.530
Tm 0.753 3.678 1.587
Tm 3.589 0.305 8.757
Ge 2.288 5.616 7.733
Tm 2.100 5.472 10.755
Ge 0.548 1.634 13.777
Ge 2.139 5.426 3.585
Pd 0.714 7.295 8.700
```

Values from the calculation:
**Magnetic moment**: 0.00 Bohr magnetons per cell


#2
The following is a DFT calculation (GGA-PBE) of a relaxed structure of Tm3Ge3Pd2.

The structure in extended XYZ format:
```
16
Lattice="4.300 0.000 0.000 -2.150 5.217 0.000 0.000 0.000 14.226" Properties=species:S:1:pos:R:3 pbc="T T T"
Pd 0.000 2.122 5.671
Tm 0.000 0.905 8.675
Ge 2.150 1.555 10.670
Ge 0.000 3.662 3.557
Pd 0.000 2.122 1.442
Tm 0.000 3.758 10.670
Tm 0.000 0.905 12.664
Ge 0.000 4.058 13.678
Tm 2.150 4.311 5.551
Ge 2.150 1.159 6.565
Ge 2.150 1.159 0.548
Ge 0.000 4.058 7.661
Tm 2.150 4.311 1.562
Tm 2.150 1.459 3.557
Pd 2.150 3.094 8.555
Pd 2.150 3.094 12.784
```

Values from the calculation:
**Magnetic moment**: 0.00 Bohr magnetons per cell


Relative energies in kJ/mol of atoms: #1 5.8; #2 0.0


#1
The following is a DFT calculation (GGA-PBE) of a relaxed structure of TmGe2Pd4.

The structure in extended XYZ format:
```
14
Lattice="-0.044 -3.628 1.212 5.104 1.876 5.797 -6.093 1.684 4.819" Properties=species:S:1:pos:R:3 pbc="T T T"
Tm -0.022 -1.814 0.606
Tm -0.495 1.780 5.308
Ge -0.295 -0.830 3.541
Pd 1.589 0.446 7.427
Pd 1.193 0.732 2.234
Ge 2.601 1.833 5.579
Pd -2.182 2.828 8.382
Ge -3.590 1.727 5.038
Pd -1.586 0.685 1.992
Pd 1.835 -0.437 4.792
Pd -2.622 -0.514 4.402
Pd -2.868 0.370 7.037
Ge -0.737 0.762 8.288
Pd 0.597 2.875 8.625
```

Values from the calculation:
**Magnetic moment**: 0.00 Bohr magnetons per cell


#2
The following is a DFT calculation (GGA-PBE) of a relaxed structure of TmGe2Pd4.

The structure in extended XYZ format:
```
28
Lattice="4.201 0.000 0.000 0.000 6.692 0.000 0.000 0.000 17.058" Properties=species:S:1:pos:R:3 pbc="T T T"
Ge 3.151 1.749 7.779
Ge 1.050 4.942 9.278
Pd 3.151 5.775 8.081
Pd 1.050 1.950 11.702
Pd 1.050 6.645 15.810
Ge 1.050 0.021 13.284
Pd 1.050 0.917 8.977
Ge 3.151 1.596 16.308
Tm 1.050 3.352 14.679
Ge 3.151 6.670 3.774
Pd 1.050 4.757 11.795
Ge 1.050 3.324 4.755
Pd 3.151 1.411 13.792
Pd 1.050 3.393 7.281
Tm 3.151 0.006 10.908
Pd 3.151 1.935 5.263
Pd 1.050 2.429 0.448
Pd 3.151 4.741 5.355
Pd 1.050 1.396 3.174
Tm 1.050 6.685 6.150
Pd 3.151 5.296 13.884
Pd 1.050 5.281 3.266
Ge 1.050 5.095 0.750
Pd 3.151 4.263 16.609
Pd 3.151 0.047 1.248
Pd 3.151 3.299 9.777
Tm 3.151 3.339 2.379
Ge 3.151 3.367 12.303
```

Values from the calculation:
**Magnetic moment**: 0.00 Bohr magnetons per cell


Relative energies in kJ/mol of atoms: #1 0.0; #2 1.1


#1
The following is a DFT calculation (GGA-PBE) of a relaxed structure of Tm3Ge3Pd.

The structure in extended XYZ format:
```
14
Lattice="4.205 0.000 0.633 2.069 5.283 0.537 0.174 0.133 13.120" Properties=species:S:1:pos:R:3 pbc="T T T"
Ge 5.226 3.785 8.132
Tm 1.658 1.363 3.269
Ge 4.054 0.932 1.637
Tm 3.453 3.629 5.626
Tm 4.791 4.053 11.021
Ge 1.223 1.631 6.158
Tm 2.417 1.595 12.503
Tm 2.995 1.787 8.664
Pd 3.433 0.489 5.763
Ge 2.395 4.484 12.653
Pd 3.016 4.927 8.527
Ge 0.615 1.035 10.195
Ge 5.834 4.382 4.095
Tm 4.031 3.822 1.787
```

Values from the calculation:
**Magnetic moment**: 0.00 Bohr magnetons per cell


#2
The following is a DFT calculation (GGA-PBE) of a relaxed structure of Tm3Ge3Pd.

The structure in extended XYZ format:
```
14
Lattice="5.610 0.000 0.000 0.000 8.374 0.000 0.000 -4.187 7.252" Properties=species:S:1:pos:R:3 pbc="T T T"
Ge 4.207 -2.480 5.245
Tm 4.207 3.005 0.543
Ge 1.402 2.592 0.475
Pd 4.207 0.000 4.835
Ge 1.402 6.667 2.007
Ge 1.402 3.303 4.770
Tm 4.207 6.401 2.330
Tm 1.402 1.183 6.709
Pd 1.402 4.187 2.417
Ge 4.207 0.885 2.482
Tm 4.207 3.155 4.379
Tm 1.402 1.032 2.874
Ge 4.207 1.595 6.777
Tm 1.402 -2.214 4.922
```

Values from the calculation:
**Magnetic moment**: 0.00 Bohr magnetons per cell


Relative energies in kJ/mol of atoms: #1 0.0; #2 37.8


#1
The following is a DFT calculation (GGA-PBE) of a relaxed structure of TmGePd6.

The structure in extended XYZ format:
```
8
Lattice="-2.777 4.518 1.362 -1.467 0.847 5.207 3.973 4.789 3.220" Properties=species:S:1:pos:R:3 pbc="T T T"
Tm -0.136 5.077 4.894
Pd 0.101 2.188 3.954
Pd 0.816 1.775 1.417
Ge 0.000 0.000 0.000
Pd -0.537 3.977 2.081
Pd 0.266 6.177 7.707
Pd -0.372 7.966 5.834
Pd -1.087 8.378 8.371
```

Values from the calculation:
**Magnetic moment**: 0.00 Bohr magnetons per cell


#2
The following is a DFT calculation (GGA-PBE) of a relaxed structure of TmGePd6.

The structure in extended XYZ format:
```
8
Lattice="4.061 0.000 0.000 0.000 4.061 0.000 0.000 0.000 7.848" Properties=species:S:1:pos:R:3 pbc="T T T"
Ge 0.000 0.000 3.924
Pd 2.030 2.030 0.000
Tm 0.000 0.000 0.000
Pd 0.000 2.030 2.076
Pd 2.030 2.030 3.924
Pd 2.030 0.000 2.076
Pd 0.000 2.030 5.772
Pd 2.030 0.000 5.772
```

Values from the calculation:
**Magnetic moment**: 0.00 Bohr magnetons per cell


Relative energies in kJ/mol of atoms: #1 32.1; #2 0.0


#1
The following is a DFT calculation (GGA-PBE) of a relaxed structure of Tm2Ge3Pd5.

The structure in extended XYZ format:
```
20
Lattice="-1.212 4.045 -0.695 -2.400 0.369 6.334 11.370 1.866 4.200" Properties=species:S:1:pos:R:3 pbc="T T T"
Pd 3.448 3.595 1.732
Ge 5.911 3.315 8.979
Pd -0.520 3.080 5.653
Tm 8.562 3.977 8.202
Ge 4.076 1.864 3.735
Pd 2.946 3.938 4.603
Pd 7.893 3.260 5.199
Tm 5.749 4.650 3.857
Ge 0.865 3.116 3.446
Ge -1.212 0.709 6.236
Tm -0.634 2.277 1.184
Pd -0.121 0.638 3.924
Ge 8.118 5.703 5.848
Pd 5.956 2.166 2.215
Ge 3.362 4.466 6.945
Tm 1.920 1.644 6.214
Pd 2.153 1.030 2.237
Pd 8.831 5.495 3.400
Pd 5.825 5.216 7.017
Pd 5.090 2.565 6.047
```

Values from the calculation:
**Magnetic moment**: 0.00 Bohr magnetons per cell


#2
The following is a DFT calculation (GGA-PBE) of a relaxed structure of Tm2Ge3Pd5.

The structure in extended XYZ format:
```
20
Lattice="5.725 0.000 0.000 2.863 7.936 -0.777 2.863 0.456 7.961" Properties=species:S:1:pos:R:3 pbc="T T T"
Pd 8.588 7.485 1.349
Ge 4.294 0.000 0.000
Tm 5.725 1.418 4.525
Pd 1.431 1.954 1.673
Pd 7.157 4.196 3.592
Pd 5.725 5.905 -0.004
Pd 7.157 6.438 5.511
Pd 10.020 6.438 5.511
Tm 2.863 4.690 0.703
Ge 8.588 6.288 3.477
Pd 2.863 0.907 5.835
Ge 1.431 0.000 0.000
Pd 4.294 1.954 1.673
Ge 5.725 3.987 1.507
Pd 4.294 4.196 3.592
Pd 5.725 2.487 7.188
Tm 5.725 6.974 2.658
Ge 5.725 4.405 5.676
Ge 2.863 2.104 3.706
Tm 8.588 3.702 6.481
```

Values from the calculation:
**Magnetic moment**: 0.00 Bohr magnetons per cell


Relative energies in kJ/mol of atoms: #1 0.0; #2 3.7